(1)
# TiNbTe2O | Alexandria via LeMat-Bulk | GGA-PBE | relaxed
# total moment	0.000	μB per atom
# uncorrected formation energy	-0.20	eV/atom
# N(E_F)	1.034	states/eV/atom
# uncorrected energy	-6.04	eV per atom
data_TiNbTe2O
_cell_length_a 5.125
_cell_length_b 5.125
_cell_length_c 3.854
_cell_angle_alpha 90.00
_cell_angle_beta 90.00
_cell_angle_gamma 90.00
_space_group_name_H-M_alt 'P 4/m m m'
_space_group_IT_number 123
_space_group_name_Hall '-P 4 2'
loop_
_atom_site_label
_atom_site_fract_x
_atom_site_fract_y
_atom_site_fract_z
Ti1 0.000 0.000 0.000
Nb1 0.500 0.500 0.000
Te1 0.000 0.500 0.500
O1 0.500 0.500 0.500

***

(2)
# Ti2V2Cd | Alexandria via LeMat-Bulk | GGA-PBE | relaxed
# energy above the lowest structure with this stoichiometry	132	meV per atom
# formation energy from the elements	300	meV per atom
# total moment	0.197	μB per atom
# N(E_F)	1.092	states/eV/atom
# uncorrected energy	-6.69	eV per atom
data_Ti2V2Cd
_cell_length_a 7.132
_cell_length_b 7.132
_cell_length_c 3.286
_cell_angle_alpha 90.00
_cell_angle_beta 90.00
_cell_angle_gamma 90.00
_space_group_name_H-M_alt 'P 4/m b m'
_space_group_IT_number 127
_space_group_name_Hall '-P 4 2ab'
loop_
_atom_site_label
_atom_site_fract_x
_atom_site_fract_y
_atom_site_fract_z
Ti1 0.131 0.369 0.000
V1 0.163 0.663 0.500
Cd1 0.000 0.000 0.000

***

Q: N(E_F) of number 2 (Ti2V2Cd)?
A: 1.092 states/eV/atom

***

Q: N(E_F) of number 1 (TiNbTe2O)?
A: 1.034 states/eV/atom